# Tl4In3Hg4 (PBE, optimized geometry)
# - Total DFT energy (no corrections): -37.12 eV for the cell shown
# - Energy above the lowest structure with this stoichiometry: 10 meV/atom
# - Formation energy: 0.33 eV/f.u.
data_Tl4In3Hg4
_symmetry_space_group_name_H-M 'A m m 2'
_symmetry_Int_Tables_number 38
_cell_length_a 10.131
_cell_length_b 4.856
_cell_length_c 12.977
_cell_angle_alpha 90.00
_cell_angle_beta 90.00
_cell_angle_gamma 90.00
loop_
_symmetry_equiv_pos_as_xyz
'x,y,z'
'-x,-y,z'
'-x,y,z'
'x,-y,z'
'x,y+1/2,z+1/2'
'-x,-y+1/2,z+1/2'
'-x,y+1/2,z+1/2'
'x,-y+1/2,z+1/2'
loop_
_atom_site_label
_atom_site_type_symbol
_atom_site_fract_x
_atom_site_fract_y
_atom_site_fract_z
Tl1 Tl 0.000 0.000 0.000
Tl2 Tl 0.238 0.000 0.471
Tl3 Tl 0.500 0.000 0.960
In1 In 0.198 0.000 0.778
In2 In 0.500 0.000 0.658
Hg1 Hg 0.000 0.000 0.282
Hg2 Hg 0.270 0.000 0.140
Hg3 Hg 0.500 0.000 0.308

---

# Tl4In6Hg7 (PBE, optimized geometry)
# - Total DFT energy (no corrections): -54.95 eV for the cell shown
# - Formation energy: 0.53 eV/f.u.
data_Tl4In6Hg7
_symmetry_space_group_name_H-M 'I m -3 m'
_symmetry_Int_Tables_number 229
_symmetry_space_group_name_Hall '-I 4 2 3'
_cell_length_a 9.838
_cell_length_b 9.838
_cell_length_c 9.838
_cell_angle_alpha 90.00
_cell_angle_beta 90.00
_cell_angle_gamma 90.00
loop_
_atom_site_label
_atom_site_type_symbol
_atom_site_fract_x
_atom_site_fract_y
_atom_site_fract_z
Tl1 Tl 0.250 0.250 0.250
In1 In 0.000 0.000 0.302
Hg1 Hg 0.000 0.000 0.000
Hg2 Hg 0.000 0.250 0.500

---

# Tl7In3Hg2 (PBE, optimized geometry)
# - Total DFT energy (no corrections): -24.97 eV for the cell shown
# - Formation energy: 0.42 eV/f.u.
data_Tl7In3Hg2
_symmetry_space_group_name_H-M 'P 1 2/m 1'
_symmetry_Int_Tables_number 10
_cell_length_a 6.281
_cell_length_b 3.391
_cell_length_c 16.725
_cell_angle_alpha 90.00
_cell_angle_beta 90.95
_cell_angle_gamma 90.00
loop_
_symmetry_equiv_pos_as_xyz
'x,y,z'
'-x,-y,-z'
'-x,y,-z'
'x,-y,z'
loop_
_atom_site_label
_atom_site_type_symbol
_atom_site_fract_x
_atom_site_fract_y
_atom_site_fract_z
Tl1 Tl 0.000 0.000 0.000
Tl2 Tl 0.201 0.500 0.180
Tl3 Tl 0.248 0.500 0.485
Tl4 Tl 0.302 0.000 0.836
In1 In 0.006 0.000 0.663
In2 In 0.500 0.500 0.000
Hg1 Hg 0.459 0.500 0.670

---

# TlIn2Hg8 (PBE, optimized geometry)
# - Total DFT energy (no corrections): -10.10 eV for the cell shown
# - Energy above the lowest structure with this stoichiometry: 3 meV/atom
# - Formation energy: 0.16 eV/f.u.
data_TlIn2Hg8
_symmetry_space_group_name_H-M 'P 4/m m m'
_symmetry_Int_Tables_number 123
_symmetry_space_group_name_Hall '-P 4 2'
_cell_length_a 4.789
_cell_length_b 4.789
_cell_length_c 13.856
_cell_angle_alpha 90.00
_cell_angle_beta 90.00
_cell_angle_gamma 90.00
loop_
_atom_site_label
_atom_site_type_symbol
_atom_site_fract_x
_atom_site_fract_y
_atom_site_fract_z
Tl1 Tl 0.000 0.000 0.000
In1 In 0.000 0.000 0.335
Hg1 Hg 0.000 0.500 0.163
Hg2 Hg 0.000 0.500 0.500
Hg3 Hg 0.500 0.500 0.335

---

# TlIn5Hg12 (PBE, optimized geometry)
# - Total DFT energy (no corrections): -39.19 eV for the cell shown
# - Formation energy: 0.09 eV/f.u.
data_TlIn5Hg12
_symmetry_space_group_name_H-M 'C 1 2/m 1'
_symmetry_Int_Tables_number 12
_cell_length_a 5.833
_cell_length_b 10.797
_cell_length_c 15.505
_cell_angle_alpha 90.00
_cell_angle_beta 95.22
_cell_angle_gamma 90.00
loop_
_symmetry_equiv_pos_as_xyz
'x,y,z'
'-x,-y,-z'
'-x,y,-z'
'x,-y,z'
'x+1/2,y+1/2,z'
'-x+1/2,-y+1/2,-z'
'-x+1/2,y+1/2,-z'
'x+1/2,-y+1/2,z'
loop_
_atom_site_label
_atom_site_type_symbol
_atom_site_fract_x
_atom_site_fract_y
_atom_site_fract_z
Tl1 Tl 0.000 0.000 0.000
In1 In 0.000 0.167 0.500
In2 In 0.000 0.330 0.000
In3 In 0.000 0.500 0.500
Hg1 Hg 0.086 0.500 0.834
Hg2 Hg 0.095 0.170 0.831
Hg3 Hg 0.193 0.000 0.668
Hg4 Hg 0.194 0.335 0.668

---

# TlInHg2 (PBE, optimized geometry)
# - Total DFT energy (no corrections): -11.32 eV for the cell shown
# - Formation energy: 0.05 eV/f.u.
data_TlInHg2
_symmetry_space_group_name_H-M 'C 1 2/m 1'
_symmetry_Int_Tables_number 12
_cell_length_a 6.762
_cell_length_b 10.370
_cell_length_c 3.404
_cell_angle_alpha 90.00
_cell_angle_beta 111.00
_cell_angle_gamma 90.00
loop_
_symmetry_equiv_pos_as_xyz
'x,y,z'
'-x,-y,-z'
'-x,y,-z'
'x,-y,z'
'x+1/2,y+1/2,z'
'-x+1/2,-y+1/2,-z'
'-x+1/2,y+1/2,-z'
'x+1/2,-y+1/2,z'
loop_
_atom_site_label
_atom_site_type_symbol
_atom_site_fract_x
_atom_site_fract_y
_atom_site_fract_z
Tl1 Tl 0.000 0.000 0.000
In1 In 0.000 0.500 0.000
Hg1 Hg 0.250 0.250 0.500

---

# Tl7In2Hg (PBE, optimized geometry)
# - Total DFT energy (no corrections): -41.14 eV for the cell shown
# - Energy above the lowest structure with this stoichiometry: 124 meV/atom
# - Formation energy: 1.77 eV/f.u.
data_Tl7In2Hg
_symmetry_space_group_name_H-M 'C m m m'
_symmetry_Int_Tables_number 65
_symmetry_space_group_name_Hall '-C 2 2'
_cell_length_a 9.113
_cell_length_b 15.726
_cell_length_c 5.163
_cell_angle_alpha 90.00
_cell_angle_beta 90.00
_cell_angle_gamma 90.00
loop_
_atom_site_label
_atom_site_type_symbol
_atom_site_fract_x
_atom_site_fract_y
_atom_site_fract_z
Tl1 Tl 0.000 0.000 0.000
Tl2 Tl 0.000 0.298 0.500
Tl3 Tl 0.188 0.393 0.000
In1 In 0.000 0.202 0.000
Hg1 Hg 0.000 0.500 0.500

---

# Tl6InHg8 (PBE, optimized geometry)
# - Total DFT energy (no corrections): -19.25 eV for the cell shown
# - Energy above the lowest structure with this stoichiometry: 0 meV/atom
# - Formation energy: 0.10 eV/f.u.
data_Tl6InHg8
_symmetry_space_group_name_H-M 'P -3'
_symmetry_Int_Tables_number 147
_cell_length_a 9.0700
_cell_length_b 9.0700
_cell_length_c 6.1214
_cell_angle_alpha 90.00
_cell_angle_beta 90.00
_cell_angle_gamma 120.00
loop_
_symmetry_equiv_pos_as_xyz
'x,y,z'
'-x,-y,-z'
'-y,x-y,z'
'y,-x+y,-z'
'-x+y,-x,z'
'x-y,x,-z'
loop_
_atom_site_label
_atom_site_type_symbol
_atom_site_fract_x
_atom_site_fract_y
_atom_site_fract_z
Tl1 Tl 0.1029 0.4471 0.3115
In1 In 0.0000 0.0000 0.5000
Hg1 Hg 0.0656 0.2853 0.8199
Hg2 Hg 0.3333 0.6667 0.8440